Record 1
# Cs2BHCl6

Cs2BHCl6 after structural relaxation (PBE, Alexandria). Values from VASP.

Computed properties:
The volume is 26.54 A^3/atom. Its symmetry is I4/mmm (139). The final energy is -3.055 eV/atom.

```
&SYSTEM
  ibrav = 0, nat = 10, ntyp = 4
/
ATOMIC_SPECIES
Cs 132.91 Cs.upf
B 10.81 B.upf
H 1.01 H.upf
Cl 35.45 Cl.upf
CELL_PARAMETERS angstrom
-3.745 3.745 4.730
3.745 -3.745 4.730
3.745 3.745 -4.730
ATOMIC_POSITIONS crystal
Cs 0.250 0.750 0.500
Cs 0.750 0.250 0.500
B 0.000 0.000 0.000
H 0.500 0.500 0.000
Cl 0.175 0.175 0.000
Cl 0.285 0.285 0.570
Cl 0.285 0.715 0.000
Cl 0.715 0.285 0.000
Cl 0.715 0.715 0.430
Cl 0.825 0.825 0.000
```

Record 2
# LiZn2Pd8

LiZn2Pd8 after structural relaxation (PBE, Alexandria). Values from VASP.

Computed properties:
The volume is 15.21 A^3/atom. The calculation puts the formation energy at -0.26 eV per atom. Its symmetry is Immm (71). As for the offset from the most stable computed form: 0 meV/atom. The final energy is -4.444 eV/atom.

```
&SYSTEM
  ibrav = 0, nat = 11, ntyp = 3
/
ATOMIC_SPECIES
Li 6.94 Li.upf
Zn 65.41 Zn.upf
Pd 106.42 Pd.upf
CELL_PARAMETERS angstrom
-2.051 3.500 5.827
2.051 -3.500 5.827
2.051 3.500 -5.827
ATOMIC_POSITIONS crystal
Li 0.000 0.000 0.000
Zn 0.302 0.302 0.000
Zn 0.698 0.698 0.000
Pd 0.123 0.843 0.280
Pd 0.144 0.644 0.500
Pd 0.308 0.500 0.808
Pd 0.437 0.157 0.280
Pd 0.563 0.843 0.720
Pd 0.692 0.500 0.192
Pd 0.856 0.356 0.500
Pd 0.877 0.157 0.720
```

Record 3
# CaWSe

CaWSe after structural relaxation (PBE, Alexandria). Values from VASP.

Computed properties:
The volume is 21.55 A^3/atom. Its symmetry is F-43m (216). The raw formation energy is 1.665 eV per formula unit. As for the offset from the most stable computed form: 553 meV/atom. The final energy is -5.591 eV/atom.

```
&SYSTEM
  ibrav = 0, nat = 3, ntyp = 3
/
ATOMIC_SPECIES
Ca 40.08 Ca.upf
W 183.84 W.upf
Se 78.96 Se.upf
CELL_PARAMETERS angstrom
0.000 3.186 3.186
3.186 0.000 3.186
3.186 3.186 0.000
ATOMIC_POSITIONS crystal
Ca 0.000 0.000 0.000
W 0.500 0.500 0.500
Se 0.750 0.750 0.750
```